one) # LiHgPd2Au PBE optimized geometry
data_LiHgPd2Au
_chemical_formula_sum 'Li1 Hg1 Pd2 Au1'
_space_group_name_H-M_alt 'P 4/m m m'
_space_group_IT_number 123
_space_group_name_Hall '-P 4 2'
_cell_length_a 5.078
_cell_length_b 5.078
_cell_length_c 4.504
_cell_angle_alpha 90.00
_cell_angle_beta 90.00
_cell_angle_gamma 90.00
loop_
_atom_site_label
_atom_site_type_symbol
_atom_site_fract_x
_atom_site_fract_y
_atom_site_fract_z
_atom_site_occupancy
Li1 Li 0.000 0.000 0.000 1
Hg1 Hg 0.500 0.500 0.000 1
Pd1 Pd 0.000 0.500 0.500 1
Au1 Au 0.000 0.000 0.500 1
# **M_tot**: 0.00 μB per formula unit

two) # LiHgPd2Au PBE optimized geometry
data_LiHgPd2Au
_chemical_formula_sum 'Li4 Hg4 Pd8 Au4'
_space_group_name_H-M_alt 'C m c m'
_space_group_IT_number 63
_space_group_name_Hall '-C 2c 2'
_cell_length_a 4.664
_cell_length_b 11.219
_cell_length_c 7.824
_cell_angle_alpha 90.00
_cell_angle_beta 90.00
_cell_angle_gamma 90.00
loop_
_atom_site_label
_atom_site_type_symbol
_atom_site_fract_x
_atom_site_fract_y
_atom_site_fract_z
_atom_site_occupancy
Li1 Li 0.000 0.000 0.000 1
Hg1 Hg 0.000 0.437 0.250 1
Pd1 Pd 0.000 0.224 0.075 1
Au1 Au 0.000 0.317 0.750 1
# **M_tot**: 0.00 μB per formula unit

Here are the energies relative to the best structure, in kJ/mol of atoms: one) 36.7; two) 0.0.